First-principles (PBE) data for a relaxed structure of Sc3BeRh4, as listed in Alexandria via LeMat-Bulk.

Output
Calculated volume ... 15.358 Å³/atom
Formation enthalpy at 0 K ... -7.006 eV/f.u.
VASP energy ... -7.392 eV per atom

abc: 3.1442 3.1442 12.4276
angles: 90.00 90.00 90.00
Fractional coordinates of all 8 atoms:
Sc 0.5000 0.5000 0.2328
Sc 0.5000 0.5000 0.5000
Sc 0.5000 0.5000 0.7672
Be 0.5000 0.5000 0.0000
Rh 0.0000 0.0000 0.8939
Rh 0.0000 0.0000 0.1061
Rh 0.0000 0.0000 0.3686
Rh 0.0000 0.0000 0.6314


First-principles (PBE) data for a relaxed structure of ScBeRh2, as listed in Alexandria via LeMat-Bulk.

Output
Calculated volume ... 14.168 Å³/atom
Formation enthalpy at 0 K ... -2.252 eV/f.u.
VASP energy ... -6.753 eV per atom

abc: 5.0065 5.0065 4.0935
angles: 70.47 70.47 36.16
Fractional coordinates of all 4 atoms:
Sc 0.5045 0.5045 0.5199
Be 0.2708 0.2708 0.1981
Rh 0.9812 0.9812 0.0509
Rh 0.7435 0.7435 0.7310


Going through the records in order, we get density values of 7.51, 7.61 g cm⁻³.